Entry 1:
A plane-wave DFT calculation with GGA-PBE was carried out for an optimized crystal structure of Ce2PAu.

It has space group R-3m (No. 166, hexagonal axes), with a = 4.0321 Å, b = 4.0321 Å, c = 22.2490 Å, α = 90.00°, β = 90.00° and γ = 120.00°. The inequivalent atoms are Ce at (0.0000, 0.0000, 0.2419), P at (0.0000, 0.0000, 0.5000) and Au at (0.0000, 0.0000, 0.0000).

The value obtained for the density is 8081 kg/m3. The spin magnetization is 0.46 μB/atom. The energy of formation is -0.944 eV per atom. The density of states at the Fermi level is 11.72 states/eV/f.u.



Entry 2:
A plane-wave DFT calculation with GGA-PBE was carried out for an optimized crystal structure of Ce2PAu.

It has space group P4/mmm (No. 123), with a = 3.621 Å, b = 3.621 Å, c = 7.068 Å, α = 90.00°, β = 90.00° and γ = 90.00°. The inequivalent atoms are Ce at (0.000, 0.000, 0.223), P at (0.500, 0.500, 0.000) and Au at (0.500, 0.500, 0.500).

The value obtained for the density is 9106 kg/m3. The spin magnetization is 0.49 μB/atom. The energy of formation is -0.895 eV per atom. The density of states at the Fermi level is 10.97 states/eV/f.u.



Entry 3:
A plane-wave DFT calculation with GGA-PBE was carried out for an optimized crystal structure of Ce2P3Au2.

It has space group C2/m (No. 12), with a = 15.114 Å, b = 4.126 Å, c = 11.625 Å, α = 90.00°, β = 125.75° and γ = 90.00°. The inequivalent atoms are Ce at (0.099, 0.000, 0.443), Ce at (0.226, 0.000, 0.829), P at (0.073, 0.500, 0.618), P at (0.127, 0.000, 0.978), P at (0.170, 0.500, 0.329), Au at (0.051, 0.500, 0.827) and Au at (0.116, 0.000, 0.180).

The value obtained for the density is 8661 kg/m3. The spin magnetization is 0.20 μB/atom. The energy of formation is -0.851 eV per atom. The density of states at the Fermi level is 10.46 states/eV/f.u.



Entry 4:
A plane-wave DFT calculation with GGA-PBE was carried out for an optimized crystal structure of Ce2P3Pd4Au.

It has space group P-4m2 (No. 115), with a = 4.101 Å, b = 4.101 Å, c = 10.809 Å, α = 90.00°, β = 90.00° and γ = 90.00°. The inequivalent atoms are Ce at (0.000, 0.500, 0.239), P at (0.000, 0.500, 0.872), P at (0.500, 0.500, 0.500), Pd at (0.000, 0.000, 0.000), Pd at (0.000, 0.500, 0.658), Pd at (0.500, 0.500, 0.000) and Au at (0.000, 0.000, 0.500).

The value obtained for the density is 9098 kg/m3. The spin magnetization is 0.09 μB/atom. The energy of formation is -0.796 eV per atom. The density of states at the Fermi level is 11.67 states/eV/f.u.